FeCo2Ir: relaxed, PBE.

Summary:
- Energy above the most stable polymorph in this dataset: 49.3 meV/atom
- SG: Imm2, No. 44
- D(E_F): 4.121 states/eV/cell
- VASP energy: -31.279 eV/cell
- Volume: 12.42 Å³ per atom

Cell lengths 4.861, 4.861, 4.861 Å; angles 145.85, 128.88, 62.92 degrees
Last column: magnetic moment on the atom in μB.
Fractional positions:
Co (0.991, 0.991, 0.000)  1.86
Co (0.742, 0.242, 0.500)  1.77
Fe (0.511, 0.511, 0.000)  2.89
Ir (0.256, 0.756, 0.500)  0.66